# 1
Computed, not measured: PmTh3Pb4 after structural relaxation at the PBE level of DFT.

```
data_PmTh3Pb4
_symmetry_space_group_name_H-M 'I 4/m m m'
_symmetry_Int_Tables_number 139
_symmetry_space_group_name_Hall '-I 4 2'
_cell_length_a 6.470
_cell_length_b 6.470
_cell_length_c 12.939
_cell_angle_alpha 90.00
_cell_angle_beta 90.00
_cell_angle_gamma 90.00
loop_
_atom_site_label
_atom_site_type_symbol
_atom_site_fract_x
_atom_site_fract_y
_atom_site_fract_z
_atom_site_occupancy
Pm1 Pm 0.000 0.000 0.000 1
Th1 Th 0.000 0.000 0.500 1
Th2 Th 0.000 0.500 0.250 1
Pb1 Pb 0.000 0.000 0.250 1
Pb2 Pb 0.000 0.500 0.000 1
```

Values from the calculation:
**Formation energy**: -0.309 eV per atom
**Magnetic moment**: 0.00 μB/atom

# 2
Computed, not measured: Na2BeFeBr after structural relaxation at the PBE level of DFT.

```
data_Na2BeFeBr
_symmetry_space_group_name_H-M 'P 4/m m m'
_symmetry_Int_Tables_number 123
_symmetry_space_group_name_Hall '-P 4 2'
_cell_length_a 5.712
_cell_length_b 5.712
_cell_length_c 4.498
_cell_angle_alpha 90.00
_cell_angle_beta 90.00
_cell_angle_gamma 90.00
loop_
_atom_site_label
_atom_site_type_symbol
_atom_site_fract_x
_atom_site_fract_y
_atom_site_fract_z
_atom_site_occupancy
Na1 Na 0.000 0.500 0.000 1
Be1 Be 0.000 0.000 0.500 1
Fe1 Fe 0.500 0.500 0.000 1
Br1 Br 0.500 0.500 0.500 1
```

Values from the calculation:
**Calculated total energy**: -2.49 eV per atom
**Magnetic moment**: 0.44 μB/atom

# 3
Computed, not measured: HoTmPt4 after structural relaxation at the PBE level of DFT.

```
data_HoTmPt4
_symmetry_space_group_name_H-M 'C 1 2 1'
_symmetry_Int_Tables_number 5
_cell_length_a 8.099
_cell_length_b 8.298
_cell_length_c 4.152
_cell_angle_alpha 90.00
_cell_angle_beta 120.76
_cell_angle_gamma 90.00
loop_
_symmetry_equiv_pos_as_xyz
'x,y,z'
'-x,y,-z'
'x+1/2,y+1/2,z'
'-x+1/2,y+1/2,-z'
loop_
_atom_site_label
_atom_site_type_symbol
_atom_site_fract_x
_atom_site_fract_y
_atom_site_fract_z
_atom_site_occupancy
Ho1 Ho 0.000 0.000 0.000 1
Tm1 Tm 0.000 0.388 0.500 1
Pt1 Pt 0.211 0.599 0.212 1
Pt2 Pt 0.214 0.792 0.715 1
```

Values from the calculation:
**Formation energy**: -1.025 eV per atom
**Energy above the lowest structure with this stoichiometry**: 101.5 meV per atom
**Magnetic moment**: 0.00 μB/atom

# 4
Computed, not measured: B2PS after structural relaxation at the PBE level of DFT.

```
data_B2PS
_symmetry_space_group_name_H-M 'F m -3 m'
_symmetry_Int_Tables_number 225
_symmetry_space_group_name_Hall '-F 4 2 3'
_cell_length_a 5.488
_cell_length_b 5.488
_cell_length_c 5.488
_cell_angle_alpha 90.00
_cell_angle_beta 90.00
_cell_angle_gamma 90.00
loop_
_atom_site_label
_atom_site_type_symbol
_atom_site_fract_x
_atom_site_fract_y
_atom_site_fract_z
_atom_site_occupancy
B1 B 0.250 0.250 0.250 1
P1 P 0.000 0.000 0.000 1
S1 S 0.000 0.000 0.500 1
```

Values from the calculation:
**Energy above the lowest structure with this stoichiometry**: 1557.2 meV per atom
**Magnetic moment**: 0.00 μB/atom

# 5
Computed, not measured: NiIrPt after structural relaxation at the PBE level of DFT.

```
data_NiIrPt
_symmetry_space_group_name_H-M 'I m m 2'
_symmetry_Int_Tables_number 44
_cell_length_a 2.733
_cell_length_b 3.744
_cell_length_c 8.100
_cell_angle_alpha 90.00
_cell_angle_beta 90.00
_cell_angle_gamma 90.00
loop_
_symmetry_equiv_pos_as_xyz
'x,y,z'
'-x,-y,z'
'-x,y,z'
'x,-y,z'
'x+1/2,y+1/2,z+1/2'
'-x+1/2,-y+1/2,z+1/2'
'-x+1/2,y+1/2,z+1/2'
'x+1/2,-y+1/2,z+1/2'
loop_
_atom_site_label
_atom_site_type_symbol
_atom_site_fract_x
_atom_site_fract_y
_atom_site_fract_z
_atom_site_occupancy
Ni1 Ni 0.000 0.000 0.000 1
Ir1 Ir 0.000 0.000 0.342 1
Pt1 Pt 0.000 0.000 0.668 1
```

Values from the calculation:
**Formation energy**: 0.044 eV per atom
**Energy above the lowest structure with this stoichiometry**: 79.7 meV per atom
**Magnetic moment**: 0.01 μB/atom